1.
First-principles (PBE) data for HfBe2H6 after structural relaxation, as listed in the Alexandria database.

Mass density ... 4.68 g cm⁻³
E ... -3.51 eV per atom
DOS(E_F) ... 0.360 states/eV per atom

a b c (Å): 4.6668 4.6668 4.6668
angles (deg): 60.00 60.00 60.00
Fractional coordinates of all 9 atoms:
Hf: 0.0000 0.0000 0.0000
Be: 0.2500 0.2500 0.2500
Be: 0.7500 0.7500 0.7500
H: 0.2853 0.2853 0.7147
H: 0.2853 0.7147 0.2853
H: 0.2853 0.7147 0.7147
H: 0.7147 0.2853 0.2853
H: 0.7147 0.2853 0.7147
H: 0.7147 0.7147 0.2853

=====

2.
First-principles (PBE) data for CrCoTe2 after structural relaxation, as listed in the Alexandria database.

Mass density ... 6.72 g cm⁻³
E ... -5.70 eV per atom
Distance to the lowest polymorph of the same formula ... 157.0 meV/atom
DOS(E_F) ... 1.232 states/eV per atom
Formation energy from raw total energies ... 0.05 eV per atom

a b c (Å): 3.5665 3.5665 7.1163
angles (deg): 90.00 90.00 90.00
Fractional coordinates of all 4 atoms:
Cr: 0.0000 0.0000 0.0000
Co: 0.5000 0.5000 0.7864
Te: 0.0000 0.0000 0.6379
Te: 0.5000 0.5000 0.1447

=====

3.
First-principles (PBE) data for Si2TeAu after structural relaxation, as listed in the Alexandria database.

Mass density ... 7.84 g cm⁻³
E ... -4.12 eV per atom
DOS(E_F) ... 0.411 states/eV per atom
Formation energy from raw total energies ... 0.20 eV per atom

a b c (Å): 3.7720 4.7649 4.7649
angles (deg): 70.25 90.00 90.00
Fractional coordinates of all 4 atoms:
Si: 0.0000 0.0000 0.0000
Si: 0.5000 0.2142 0.2142
Te: 0.0000 0.4880 0.4880
Au: 0.5000 0.7673 0.7673

=====

4.
First-principles (PBE) data for ZnIrO2F after structural relaxation, as listed in the Alexandria database.

Mass density ... 8.56 g cm⁻³
E ... -4.23 eV per atom
DOS(E_F) ... 0.966 states/eV per atom
Formation energy from raw total energies ... 0.15 eV per atom

a b c (Å): 3.9042 3.9042 3.9261
angles (deg): 90.00 90.00 90.00
Fractional coordinates of all 5 atoms:
Zn: 0.0000 0.0000 0.0000
Ir: 0.5000 0.5000 0.5000
O: 0.0000 0.5000 0.0000
O: 0.5000 0.0000 0.0000
F: 0.0000 0.0000 0.5000

=====

5.
First-principles (PBE) data for TbTm3In after structural relaxation, as listed in the Alexandria database.

Mass density ... 8.64 g cm⁻³
E ... -4.24 eV per atom
Distance to the lowest polymorph of the same formula ... 94.2 meV/atom
DOS(E_F) ... 0.886 states/eV per atom
Formation enthalpy at 0 K ... -0.08 eV/atom

a b c (Å): 5.2705 8.4873 6.7042
angles (deg): 90.00 90.00 90.00
Fractional coordinates of all 10 atoms:
Tb: 0.2500 0.2500 0.0584
Tb: 0.7500 0.7500 0.9416
Tm: 0.2500 0.5595 0.7286
Tm: 0.2500 0.7500 0.2138
Tm: 0.2500 0.9405 0.7286
Tm: 0.7500 0.0595 0.2714
Tm: 0.7500 0.2500 0.7862
Tm: 0.7500 0.4405 0.2714
In: 0.2500 0.2500 0.4995
In: 0.7500 0.7500 0.5005

=====

6.
First-principles (PBE) data for KSe2Cl after structural relaxation, as listed in the Alexandria database.

Mass density ... 2.62 g cm⁻³
E ... -3.28 eV per atom
Distance to the lowest polymorph of the same formula ... 0.0 meV/atom
Formation energy from raw total energies ... -0.80 eV per atom

a b c (Å): 8.4302 8.4302 4.4341
angles (deg): 103.83 103.83 28.88
Fractional coordinates of all 4 atoms:
K: 0.0000 0.0000 0.0000
Se: 0.2302 0.2302 0.5905
Se: 0.7698 0.7698 0.4095
Cl: 0.5000 0.5000 0.5000

=====

7.
First-principles (PBE) data for Tc2PtCl after structural relaxation, as listed in the Alexandria database.

Mass density ... 11.48 g cm⁻³
E ... -6.34 eV per atom
Distance to the lowest polymorph of the same formula ... 695.9 meV/atom
DOS(E_F) ... 0.985 states/eV per atom
Formation energy from raw total energies ... 0.81 eV per atom

a b c (Å): 4.6413 4.6413 4.6413
angles (deg): 127.05 127.05 78.17
Fractional coordinates of all 4 atoms:
Tc: 0.0000 0.0000 0.0000
Tc: 0.7500 0.2500 0.5000
Pt: 0.5000 0.5000 0.0000
Cl: 0.2500 0.7500 0.5000

=====

8.
First-principles (PBE) data for LaPmZnGa after structural relaxation, as listed in the Alexandria database.

Mass density ... 6.76 g cm⁻³
E ... -3.94 eV per atom
DOS(E_F) ... 1.090 states/eV per atom
Formation enthalpy at 0 K ... -0.45 eV/atom

a b c (Å): 5.2602 5.2602 5.2602
angles (deg): 60.00 60.00 60.00
Fractional coordinates of all 4 atoms:
La: 0.0000 0.0000 0.0000
Pm: 0.5000 0.5000 0.5000
Zn: 0.7500 0.7500 0.7500
Ga: 0.2500 0.2500 0.2500

=====

9.
First-principles (PBE) data for NaAc2Sn after structural relaxation, as listed in the Alexandria database.

Mass density ... 6.99 g cm⁻³
E ... -3.67 eV per atom
Distance to the lowest polymorph of the same formula ... 1.3 meV/atom
DOS(E_F) ... 0.953 states/eV per atom
Formation enthalpy at 0 K ... -0.29 eV/atom

a b c (Å): 5.5015 5.5015 4.6759
angles (deg): 90.00 90.00 90.00
Fractional coordinates of all 4 atoms:
Na: 0.0000 0.0000 0.0000
Ac: 0.0000 0.5000 0.5000
Ac: 0.5000 0.0000 0.5000
Sn: 0.5000 0.5000 0.0000

=====

10.
First-principles (PBE) data for Ba2TaH after structural relaxation, as listed in the Alexandria database.

Mass density ... 6.38 g cm⁻³
E ... -3.79 eV per atom
Distance to the lowest polymorph of the same formula ... 0.0 meV/atom
DOS(E_F) ... 0.898 states/eV per atom

a b c (Å): 6.7615 6.7615 6.7615
angles (deg): 110.46 110.46 107.52
Fractional coordinates of all 8 atoms:
Ba: 0.0301 0.6250 0.9051
Ba: 0.3750 0.2801 0.4051
Ba: 0.7199 0.1250 0.0949
Ba: 0.8750 0.9699 0.5949
Ta: 0.2500 0.7500 0.5000
Ta: 0.5000 0.5000 0.0000
H: 0.0000 0.0000 0.0000
H: 0.7500 0.2500 0.5000

=====

11.
First-principles (PBE) data for Sm4Sn2Pt after structural relaxation, as listed in the Alexandria database.

Mass density ... 8.43 g cm⁻³
E ... -5.49 eV per atom
DOS(E_F) ... 0.865 states/eV per atom
Formation enthalpy at 0 K ... -0.78 eV/atom

a b c (Å): 6.2642 6.2642 8.8505
angles (deg): 119.13 119.13 43.54
Fractional coordinates of all 7 atoms:
Sm: 0.0771 0.0771 0.3600
Sm: 0.3257 0.3257 0.9343
Sm: 0.6743 0.6743 0.0657
Sm: 0.9229 0.9229 0.6400
Sn: 0.3573 0.3573 0.3421
Sn: 0.6427 0.6427 0.6579
Pt: 0.0000 0.0000 0.0000

=====

12.
First-principles (PBE) data for PmNdTm4 after structural relaxation, as listed in the Alexandria database.

Mass density ... 7.78 g cm⁻³
E ... -4.28 eV per atom
Distance to the lowest polymorph of the same formula ... 262.7 meV/atom
DOS(E_F) ... 2.397 states/eV per atom
Formation enthalpy at 0 K ... 0.28 eV/atom

a b c (Å): 6.6276 6.6276 6.6276
angles (deg): 60.00 60.00 60.00
Fractional coordinates of all 6 atoms:
Pm: 0.0000 0.0000 0.0000
Nd: 0.7500 0.7500 0.7500
Tm: 0.3749 0.3749 0.3749
Tm: 0.3749 0.3749 0.8753
Tm: 0.3749 0.8753 0.3749
Tm: 0.8753 0.3749 0.3749

=====

13.
First-principles (PBE) data for LiCrOs2 after structural relaxation, as listed in the Alexandria database.

Mass density ... 13.29 g cm⁻³
E ... -8.26 eV per atom
Distance to the lowest polymorph of the same formula ... 134.6 meV/atom
DOS(E_F) ... 0.958 states/eV per atom
Formation enthalpy at 0 K ... 0.24 eV/atom

a b c (Å): 2.6276 2.6276 8.8539
angles (deg): 90.00 90.00 116.13
Fractional coordinates of all 4 atoms:
Li: 0.0000 0.0000 0.0000
Cr: 0.0000 0.0000 0.5000
Os: 0.5000 0.5000 0.2617
Os: 0.5000 0.5000 0.7383

=====

14.
First-principles (PBE) data for Zr3FePt after structural relaxation, as listed in the Alexandria database.

Mass density ... 8.25 g cm⁻³
E ... -7.94 eV per atom
Distance to the lowest polymorph of the same formula ... 0.0 meV/atom
DOS(E_F) ... 1.437 states/eV per atom
Formation enthalpy at 0 K ... 0.09 eV/atom

a b c (Å): 4.7265 4.7265 4.7265
angles (deg): 90.00 90.00 90.00
Fractional coordinates of all 5 atoms:
Zr: 0.0000 0.0000 0.5000
Zr: 0.0000 0.5000 0.0000
Zr: 0.5000 0.0000 0.0000
Fe: 0.0000 0.0000 0.0000
Pt: 0.5000 0.5000 0.5000

=====

15.
First-principles (PBE) data for FeTc2PtC after structural relaxation, as listed in the Alexandria database.

Mass density ... 11.34 g cm⁻³
E ... -8.58 eV per atom
DOS(E_F) ... 0.767 states/eV per atom
Formation enthalpy at 0 K ... 0.31 eV/atom

a b c (Å): 4.0751 4.0751 4.0456
angles (deg): 90.00 90.00 90.00
Fractional coordinates of all 5 atoms:
Fe: 0.0000 0.0000 0.0000
Tc: 0.0000 0.5000 0.5000
Tc: 0.5000 0.0000 0.5000
Pt: 0.5000 0.5000 0.0000
C: 0.5000 0.5000 0.5000

=====

16.
First-principles (PBE) data for Pr4AlHgO after structural relaxation, as listed in the Alexandria database.

Mass density ... 6.90 g cm⁻³
E ... -4.97 eV per atom
DOS(E_F) ... 0.809 states/eV per atom
Formation energy from raw total energies ... -0.96 eV per atom

a b c (Å): 8.8089 8.8089 6.9282
angles (deg): 90.00 90.00 133.75
Fractional coordinates of all 14 atoms:
Pr: 0.0000 0.5000 0.0000
Pr: 0.0000 0.5000 0.5000
Pr: 0.0744 0.9256 0.7500
Pr: 0.4248 0.5752 0.7500
Pr: 0.5000 0.0000 0.0000
Pr: 0.5000 0.0000 0.5000
Pr: 0.5752 0.4248 0.2500
Pr: 0.9256 0.0744 0.2500
Al: 0.1174 0.8826 0.2500
Al: 0.8826 0.1174 0.7500
Hg: 0.3836 0.6164 0.2500
Hg: 0.6164 0.3836 0.7500
O: 0.2552 0.7448 0.7500
O: 0.7448 0.2552 0.2500

=====

17.
First-principles (PBE) data for Pt3Rh8 after structural relaxation, as listed in the Alexandria database.

Mass density ... 12.35 g cm⁻³
E ... -6.36 eV per atom
Distance to the lowest polymorph of the same formula ... 471.7 meV/atom
DOS(E_F) ... 1.593 states/eV per atom
Formation enthalpy at 0 K ... 0.63 eV/atom

a b c (Å): 5.7626 5.7626 5.7626
angles (deg): 94.66 94.66 94.66
Fractional coordinates of all 11 atoms:
Pt: 0.0000 0.5000 0.5000
Pt: 0.5000 0.0000 0.5000
Pt: 0.5000 0.5000 0.0000
Rh: 0.0552 0.6833 0.9189
Rh: 0.0811 0.9448 0.3167
Rh: 0.3167 0.0811 0.9448
Rh: 0.3635 0.3635 0.3635
Rh: 0.6365 0.6365 0.6365
Rh: 0.6833 0.9189 0.0552
Rh: 0.9189 0.0552 0.6833
Rh: 0.9448 0.3167 0.0811

=====

18.
First-principles (PBE) data for Cs2UInS4 after structural relaxation, as listed in the Alexandria database.

Mass density ... 3.91 g cm⁻³
E ... -5.02 eV per atom
DOS(E_F) ... 0.420 states/eV per atom
Formation energy from raw total energies ... -0.99 eV per atom

a b c (Å): 15.0287 13.4146 8.1836
angles (deg): 84.50 62.68 32.82
Fractional coordinates of all 16 atoms:
Cs: 0.0535 0.0535 0.6965
Cs: 0.3035 0.3035 0.9465
Cs: 0.6965 0.6965 0.0535
Cs: 0.9465 0.9465 0.3035
U: 0.1250 0.1250 0.1250
U: 0.8750 0.8750 0.8750
In: 0.3750 0.3750 0.3750
In: 0.6250 0.6250 0.6250
S: 0.0169 0.3374 0.4299
S: 0.2842 0.5701 0.6626
S: 0.3374 0.0169 0.7158
S: 0.4299 0.7158 0.0169
S: 0.5701 0.2842 0.9831
S: 0.6626 0.9831 0.2842
S: 0.7158 0.4299 0.3374
S: 0.9831 0.6626 0.5701

=====

19.
First-principles (PBE) data for Li2Ce3Sb3 after structural relaxation, as listed in the Alexandria database.

Mass density ... 5.90 g cm⁻³
E ... -4.95 eV per atom
DOS(E_F) ... 2.995 states/eV per atom
Formation energy from raw total energies ... -0.70 eV per atom

a b c (Å): 9.0691 9.0691 6.3192
angles (deg): 90.00 90.00 120.00
Fractional coordinates of all 16 atoms:
Li: 0.3333 0.6667 0.0000
Li: 0.3333 0.6667 0.5000
Li: 0.6667 0.3333 0.0000
Li: 0.6667 0.3333 0.5000
Ce: 0.0000 0.2647 0.2500
Ce: 0.0000 0.7353 0.7500
Ce: 0.2647 0.0000 0.2500
Ce: 0.2647 0.2647 0.7500
Ce: 0.7353 0.0000 0.7500
Ce: 0.7353 0.7353 0.2500
Sb: 0.0000 0.3860 0.7500
Sb: 0.0000 0.6140 0.2500
Sb: 0.3860 0.0000 0.7500
Sb: 0.3860 0.3860 0.2500
Sb: 0.6140 0.0000 0.2500
Sb: 0.6140 0.6140 0.7500

=====

20.
First-principles (PBE) data for LiHgPt2 after structural relaxation, as listed in the Alexandria database.

Mass density ... 15.81 g cm⁻³
E ... -3.74 eV per atom
DOS(E_F) ... 0.402 states/eV per atom
Formation enthalpy at 0 K ... -0.17 eV/atom

a b c (Å): 3.0117 3.0117 6.9210
angles (deg): 90.00 90.00 90.00
Fractional coordinates of all 4 atoms:
Li: 0.0000 0.0000 0.0000
Hg: 0.5000 0.5000 0.7510
Pt: 0.0000 0.0000 0.4685
Pt: 0.5000 0.5000 0.1986